(a)
This record from Alexandria via LeMat-Bulk describes a geometry-optimized ScAuCl2 structure. The functional is PBE-GGA.

```
data_ScAuCl2
_cell_length_a 4.394
_cell_length_b 4.394
_cell_length_c 4.107
_cell_angle_alpha 90.00
_cell_angle_beta 90.00
_cell_angle_gamma 90.00
_space_group_name_H-M_alt 'P 4/m m m'
_space_group_IT_number 123
_space_group_name_Hall '-P 4 2'
loop_
_atom_site_label
_atom_site_fract_x
_atom_site_fract_y
_atom_site_fract_z
_atom_site_occupancy
Sc1 0.000 0.000 0.000 1
Au1 0.500 0.500 0.000 1
Cl1 0.000 0.500 0.500 1
```

(b)
This record from Alexandria via LeMat-Bulk describes a geometry-optimized ScAuCl2 structure. The functional is PBE-GGA.

```
data_ScAuCl2
_cell_length_a 3.090
_cell_length_b 3.090
_cell_length_c 10.145
_cell_angle_alpha 90.00
_cell_angle_beta 90.00
_cell_angle_gamma 90.00
_space_group_name_H-M_alt 'P 4/m m m'
_space_group_IT_number 123
_space_group_name_Hall '-P 4 2'
loop_
_atom_site_label
_atom_site_fract_x
_atom_site_fract_y
_atom_site_fract_z
_atom_site_occupancy
Sc1 0.000 0.000 0.000 1
Au1 0.000 0.000 0.500 1
Cl1 0.500 0.500 0.151 1
```

Stability, highest: (b)

(a)
This record from Alexandria via LeMat-Bulk describes a geometry-optimized ScAuCl2 structure. The functional is PBE-GGA.

```
data_ScAuCl2
_cell_length_a 5.062
_cell_length_b 3.560
_cell_length_c 5.402
_cell_angle_alpha 90.00
_cell_angle_beta 117.79
_cell_angle_gamma 90.00
_space_group_name_H-M_alt 'P 1 2/m 1'
_space_group_IT_number 10
_space_group_name_Hall '-P 2y'
loop_
_atom_site_label
_atom_site_fract_x
_atom_site_fract_y
_atom_site_fract_z
_atom_site_occupancy
Sc1 0.000 0.000 0.000 1
Au1 0.500 0.500 0.500 1
Cl1 0.000 0.500 0.500 1
Cl2 0.500 0.000 0.000 1
```

(b)
This record from Alexandria via LeMat-Bulk describes a geometry-optimized ScAuCl2 structure. The functional is PBE-GGA.

```
data_ScAuCl2
_cell_length_a 3.247
_cell_length_b 4.780
_cell_length_c 13.552
_cell_angle_alpha 90.00
_cell_angle_beta 90.00
_cell_angle_gamma 90.00
_space_group_name_H-M_alt 'I m m 2'
_space_group_IT_number 44
_space_group_name_Hall 'I 2 -2'
loop_
_atom_site_label
_atom_site_fract_x
_atom_site_fract_y
_atom_site_fract_z
_atom_site_occupancy
Sc1 0.000 0.000 0.000 1
Au1 0.000 0.500 0.663 1
Cl1 0.000 0.000 0.511 1
Cl2 0.000 0.500 0.357 1
```

Stability, highest: (b)

(a)
This record from Alexandria via LeMat-Bulk describes a geometry-optimized ScAu3Cl structure. The functional is PBE-GGA.

```
data_ScAu3Cl
_cell_length_a 4.924
_cell_length_b 4.924
_cell_length_c 4.924
_cell_angle_alpha 90.00
_cell_angle_beta 90.00
_cell_angle_gamma 90.00
_space_group_name_H-M_alt 'P m -3 m'
_space_group_IT_number 221
_space_group_name_Hall '-P 4 2 3'
loop_
_atom_site_label
_atom_site_fract_x
_atom_site_fract_y
_atom_site_fract_z
_atom_site_occupancy
Sc1 0.000 0.000 0.000 1
Au1 0.000 0.500 0.500 1
Cl1 0.500 0.500 0.500 1
```

(b)
This record from Alexandria via LeMat-Bulk describes a geometry-optimized ScAu3Cl structure. The functional is PBE-GGA.

```
data_ScAu3Cl
_cell_length_a 5.221
_cell_length_b 5.221
_cell_length_c 5.221
_cell_angle_alpha 90.00
_cell_angle_beta 90.00
_cell_angle_gamma 90.00
_space_group_name_H-M_alt 'P m -3 m'
_space_group_IT_number 221
_space_group_name_Hall '-P 4 2 3'
loop_
_atom_site_label
_atom_site_fract_x
_atom_site_fract_y
_atom_site_fract_z
_atom_site_occupancy
Sc1 0.000 0.000 0.000 1
Au1 0.000 0.000 0.500 1
Cl1 0.500 0.500 0.500 1
```

Stability, highest: (b)

(a)
This record from Alexandria via LeMat-Bulk describes a geometry-optimized TlAuSeCl structure. The functional is PBE-GGA.

```
data_TlAuSeCl
_cell_length_a 4.656
_cell_length_b 3.424
_cell_length_c 7.380
_cell_angle_alpha 90.00
_cell_angle_beta 108.07
_cell_angle_gamma 90.00
_space_group_name_H-M_alt 'P 1 m 1'
_space_group_IT_number 6
_space_group_name_Hall 'P -2y'
loop_
_atom_site_label
_atom_site_fract_x
_atom_site_fract_y
_atom_site_fract_z
_atom_site_occupancy
Tl1 0.000 0.000 0.000 1
Au1 0.788 0.000 0.583 1
Se1 0.232 0.000 0.469 1
Cl1 0.554 0.500 0.111 1
```

(b)
This record from Alexandria via LeMat-Bulk describes a geometry-optimized TlAuSeCl structure. The functional is PBE-GGA.

```
data_TlAuSeCl
_cell_length_a 4.056
_cell_length_b 4.955
_cell_length_c 6.941
_cell_angle_alpha 84.11
_cell_angle_beta 80.34
_cell_angle_gamma 66.06
_space_group_name_H-M_alt 'P 1'
_space_group_IT_number 1
_space_group_name_Hall 'P 1'
loop_
_atom_site_label
_atom_site_fract_x
_atom_site_fract_y
_atom_site_fract_z
_atom_site_occupancy
Tl1 0.000 0.000 0.000 1
Au1 0.588 0.527 0.443 1
Se1 0.229 0.402 0.250 1
Cl1 0.716 0.699 0.731 1
```

(c)
This record from Alexandria via LeMat-Bulk describes a geometry-optimized TlAuSeCl structure. The functional is PBE-GGA.

```
data_TlAuSeCl
_cell_length_a 16.497
_cell_length_b 3.698
_cell_length_c 3.693
_cell_angle_alpha 90.00
_cell_angle_beta 90.54
_cell_angle_gamma 90.00
_space_group_name_H-M_alt 'C 1 m 1'
_space_group_IT_number 8
_space_group_name_Hall 'C -2y'
loop_
_atom_site_label
_atom_site_fract_x
_atom_site_fract_y
_atom_site_fract_z
_atom_site_occupancy
Tl1 0.000 0.000 0.000 1
Au1 0.223 0.000 0.490 1
Se1 0.193 0.500 0.988 1
Cl1 0.406 0.000 0.497 1
```

(d)
This record from Alexandria via LeMat-Bulk describes a geometry-optimized TlAuSeCl structure. The functional is PBE-GGA.

```
data_TlAuSeCl
_cell_length_a 4.215
_cell_length_b 4.215
_cell_length_c 8.338
_cell_angle_alpha 89.51
_cell_angle_beta 89.61
_cell_angle_gamma 60.02
_space_group_name_H-M_alt 'P 1'
_space_group_IT_number 1
_space_group_name_Hall 'P 1'
loop_
_atom_site_label
_atom_site_fract_x
_atom_site_fract_y
_atom_site_fract_z
_atom_site_occupancy
Tl1 0.000 0.000 0.000 1
Au1 0.994 0.985 0.630 1
Se1 0.328 0.320 0.555 1
Cl1 0.665 0.664 0.188 1
```

Stability, highest: (c)

(a)
This record from Alexandria via LeMat-Bulk describes a geometry-optimized Si2AuCl structure. The functional is PBE-GGA.

```
data_Si2AuCl
_cell_length_a 3.326
_cell_length_b 3.398
_cell_length_c 6.847
_cell_angle_alpha 90.00
_cell_angle_beta 90.00
_cell_angle_gamma 90.00
_space_group_name_H-M_alt 'P m m 2'
_space_group_IT_number 25
_space_group_name_Hall 'P 2 -2'
loop_
_atom_site_label
_atom_site_fract_x
_atom_site_fract_y
_atom_site_fract_z
_atom_site_occupancy
Si1 0.000 0.000 0.000 1
Si2 0.500 0.500 0.116 1
Au1 0.000 0.000 0.365 1
Cl1 0.500 0.500 0.615 1
```

(b)
This record from Alexandria via LeMat-Bulk describes a geometry-optimized Si2AuCl structure. The functional is PBE-GGA.

```
data_Si2AuCl
_cell_length_a 4.0374
_cell_length_b 4.0374
_cell_length_c 17.9147
_cell_angle_alpha 90.00
_cell_angle_beta 90.00
_cell_angle_gamma 120.00
_space_group_name_H-M_alt 'R -3 m'
_space_group_IT_number 166
_space_group_name_Hall '-R 3 2"'
loop_
_atom_site_label
_atom_site_fract_x
_atom_site_fract_y
_atom_site_fract_z
_atom_site_occupancy
Si1 0.0000 0.0000 0.2202 1
Au1 0.0000 0.0000 0.5000 1
Cl1 0.0000 0.0000 0.0000 1
```

Stability, highest: (b)

(a)
This record from Alexandria via LeMat-Bulk describes a geometry-optimized Si3AuCl structure. The functional is PBE-GGA.

```
data_Si3AuCl
_cell_length_a 4.680
_cell_length_b 4.680
_cell_length_c 4.680
_cell_angle_alpha 90.00
_cell_angle_beta 90.00
_cell_angle_gamma 90.00
_space_group_name_H-M_alt 'P m -3 m'
_space_group_IT_number 221
_space_group_name_Hall '-P 4 2 3'
loop_
_atom_site_label
_atom_site_fract_x
_atom_site_fract_y
_atom_site_fract_z
_atom_site_occupancy
Si1 0.000 0.000 0.500 1
Au1 0.500 0.500 0.500 1
Cl1 0.000 0.000 0.000 1
```

(b)
This record from Alexandria via LeMat-Bulk describes a geometry-optimized Si3AuCl structure. The functional is PBE-GGA.

```
data_Si3AuCl
_cell_length_a 4.953
_cell_length_b 4.953
_cell_length_c 4.953
_cell_angle_alpha 90.00
_cell_angle_beta 90.00
_cell_angle_gamma 90.00
_space_group_name_H-M_alt 'P m -3 m'
_space_group_IT_number 221
_space_group_name_Hall '-P 4 2 3'
loop_
_atom_site_label
_atom_site_fract_x
_atom_site_fract_y
_atom_site_fract_z
_atom_site_occupancy
Si1 0.000 0.000 0.500 1
Au1 0.000 0.000 0.000 1
Cl1 0.500 0.500 0.500 1
```

Stability, highest: (b)